Record 1
# PBE PrAsNO, relaxed
# energy above the lowest structure with this stoichiometry = 147.5 meV/atom
# crystal system = tetragonal
data_PrAsNO
_chemical_formula_sum 'Pr2 As2 N2 O2'
_symmetry_space_group_name_H-M 'P 1'
_symmetry_Int_Tables_number 1
_symmetry_space_group_name_Hall 'P 1'
_cell_length_a 4.2773
_cell_length_b 4.2773
_cell_length_c 7.3375
_cell_angle_alpha 90.00
_cell_angle_beta 90.00
_cell_angle_gamma 90.00
loop_
_atom_site_label
_atom_site_fract_x
_atom_site_fract_y
_atom_site_fract_z
N1 0.7500 0.7500 0.5025
N2 0.2500 0.2500 0.4975
As1 0.2500 0.7500 0.5000
As2 0.7500 0.2500 0.5000
Pr1 0.2500 0.2500 0.1501
Pr2 0.7500 0.7500 0.8499
O1 0.2500 0.7500 0.0000
O2 0.7500 0.2500 0.0000

=====

Record 2
# PBE GdHoTlCo2, relaxed
# total DFT energy (no corrections) = -27.2 eV for the cell shown
# crystal system = orthorhombic
data_GdHoTlCo2
_chemical_formula_sum 'Gd1 Ho1 Tl1 Co2'
_symmetry_space_group_name_H-M 'P 1'
_symmetry_Int_Tables_number 1
_symmetry_space_group_name_Hall 'P 1'
_cell_length_a 3.8650
_cell_length_b 7.3070
_cell_length_c 7.3070
_cell_angle_alpha 30.38
_cell_angle_beta 90.00
_cell_angle_gamma 90.00
loop_
_atom_site_label
_atom_site_fract_x
_atom_site_fract_y
_atom_site_fract_z
Tl1 0.5000 0.9988 0.9988
Co1 0.5000 0.2079 0.2079
Co2 0.5000 0.7944 0.7944
Gd1 0.0000 0.6393 0.6393
Ho1 0.0000 0.3597 0.3597

=====

Number 1: magnetic moment 0.00 μB per cell. Number 2: magnetic moment 1.38 μB per cell.